1.
Material: Pr5Tm2Sn5
Method: DFT, GGA-PBE
State: relaxed

a b c (Å): 4.482 7.857 12.845
angles (deg): 109.95 90.00 106.57
Atoms (fractional coordinates):
Pr 0.661 0.322 0.040
Pr 0.500 0.000 0.500
Pr 0.274 0.548 0.658
Pr 0.339 0.678 0.960
Pr 0.726 0.452 0.342
Sn 0.115 0.230 0.424
Sn 0.000 0.000 0.000
Sn 0.885 0.770 0.576
Sn 0.312 0.624 0.210
Sn 0.688 0.376 0.790
Tm 0.950 0.900 0.211
Tm 0.050 0.100 0.789

## Properties
symmetry	C2/m, No. 12
D(E_F)	7.9	states/eV per cell
size of the total moment	0.1	μB/f.u.
uncorrected energy	-4.949	eV/atom
energy of formation	-52.48	kJ per mole of atoms


2.
Material: MgMnMoH
Method: DFT, GGA-PBE
State: relaxed

a b c (Å): 2.956 3.923 4.714
angles (deg): 88.83 90.12 90.22
Last column: magnetic moment on the atom in μB.
Atoms (fractional coordinates):
Mo 0.166 0.086 0.707  -0.27
H 0.660 0.933 0.452  0.00
Mn 0.649 0.581 0.693  0.84
Mg 0.148 0.557 0.196  -0.01

## Properties
symmetry	P1, No. 1
D(E_F)	2.8	states/eV per cell
size of the total moment	0.6	μB/f.u.
uncorrected energy	-5.847	eV/atom
energy relative to the lowest polymorph listed for this composition	0.3165	eV/atom


3.
Material: Ce2HoTh
Method: DFT, GGA-PBE
State: relaxed

a b c (Å): 5.935 3.399 8.990
angles (deg): 138.70 90.00 90.00
Last column: magnetic moment on the atom in μB.
Atoms (fractional coordinates):
Ho 0.500 0.500 0.000  0.03
Th 0.500 0.000 0.500  0.02
Ce 0.000 0.667 0.730  0.47
Ce 0.000 0.333 0.270  0.47

## Properties
symmetry	P2/m, No. 10
D(E_F)	10.6	states/eV per cell
size of the total moment	1.2	μB/f.u.
uncorrected energy	-5.806	eV/atom
energy relative to the lowest polymorph listed for this composition	0.1042	eV/atom
energy of formation	15.43	kJ per mole of atoms